A plane-wave DFT calculation with GGA+U was carried out for a relaxed structure of VCoIrO6.

```
data_VCoIrO6
_space_group_name_H-M_alt 'P -3 1 c'
_space_group_IT_number 163
_space_group_name_Hall '-P 3 2c'
_cell_length_a 4.9926
_cell_length_b 4.9926
_cell_length_c 8.9287
_cell_angle_alpha 90.00
_cell_angle_beta 90.00
_cell_angle_gamma 120.00
loop_
_atom_site_label
_atom_site_fract_x
_atom_site_fract_y
_atom_site_fract_z
V1 0.3333 0.6667 0.2500
Co1 0.0000 0.0000 0.0000
Ir1 0.3333 0.6667 0.7500
O1 0.0115 0.3514 0.1316
```

Raw total energy in eV for the cell shown: -122.8
M_tot in μB per atom: 0.11